Below is a relaxed Ca5Cu crystal, with properties calculated at the PBEsol level.

Unit cell a=3.685 b=3.685 c=14.759 alpha=90.00 beta=90.00 gamma=90.00
Sites, in units of the cell vectors:
Ca  0.000  0.000  0.888
Ca  0.000  0.000  0.112
Ca  0.500  0.500  0.693
Ca  0.500  0.500  0.307
Ca  0.000  0.000  0.500
Cu  0.500  0.500  0.000

Results
calculated total energy = -2.491 eV/atom
D(E_F) = 6.1 states/eV per cell
energy above the lowest structure with this stoichiometry = 0 meV/atom